[1]
DFT (PBE) results for a relaxed Zn2CrCd crystal.

Unit cell a=7.3208 b=7.3208 c=5.5553 alpha=90.00 beta=90.00 gamma=90.00
Space group I-42d (No. 122)
One atom of each set of equivalent atoms:
Zn 0.2394 0.7500 0.1250
Cr 0.0000 0.0000 0.0000
Cd 0.0000 0.0000 0.5000

## Properties
- M_tot: 14.877 μB per cell
- Calculated formation energy: 461 meV/atom
- E_tot: -2.811 eV per atom

---

[2]
DFT (PBE) results for a relaxed Zn2CrCd crystal.

Unit cell a=2.7765 b=2.7765 c=28.5562 alpha=90.00 beta=90.00 gamma=120.00
Space group R-3m (No. 166, hexagonal axes)
One atom of each set of equivalent atoms:
Zn 0.0000 0.0000 0.2388
Cr 0.0000 0.0000 0.5000
Cd 0.0000 0.0000 0.0000

## Properties
- M_tot: 0.000 μB per cell
- Calculated formation energy: 288 meV/atom
- E_tot: -2.983 eV per atom

---

[3]
DFT (PBE) results for a relaxed Zn3CrCd crystal.

Unit cell a=4.9425 b=4.9425 c=4.9425 alpha=90.00 beta=90.00 gamma=90.00
Space group Pm-3m (No. 221)
One atom of each set of equivalent atoms:
Zn 0.0000 0.0000 0.5000
Cr 0.0000 0.0000 0.0000
Cd 0.5000 0.5000 0.5000

## Properties
- Offset from the most stable computed form: 0.0 meV per atom
- M_tot: 4.386 μB per cell
- Calculated formation energy: 664 meV/atom
- E_tot: -2.208 eV per atom

---

[4]
DFT (PBE) results for a relaxed ZnCr2Cd crystal.

Unit cell a=3.4025 b=3.9215 c=8.5868 alpha=90.00 beta=90.00 gamma=90.00
Space group Cmmm (No. 65)
One atom of each set of equivalent atoms:
Zn 0.0000 0.0000 0.0000
Cr 0.0000 0.5000 0.2327
Cd 0.0000 0.0000 0.5000

## Properties
- Offset from the most stable computed form: 315.7 meV per atom
- M_tot: 0.000 μB per cell
- Calculated formation energy: 512 meV/atom
- E_tot: -4.847 eV per atom

---

[5]
DFT (PBE) results for a relaxed Zr2CrCd crystal.

Unit cell a=3.2327 b=3.2327 c=27.0565 alpha=90.00 beta=90.00 gamma=120.00
Space group R-3m (No. 166, hexagonal axes)
One atom of each set of equivalent atoms:
Zr 0.0000 0.0000 0.2372
Cr 0.0000 0.0000 0.5000
Cd 0.0000 0.0000 0.0000

## Properties
- M_tot: 0.001 μB per cell
- Calculated formation energy: 216 meV/atom
- E_tot: -6.692 eV per atom

---

[6]
DFT (PBE) results for a relaxed Zr2CrCd crystal.

Unit cell a=6.8495 b=6.8495 c=6.8495 alpha=90.00 beta=90.00 gamma=90.00
Space group F-43m (No. 216)
One atom of each set of equivalent atoms:
Zr 0.0000 0.0000 0.0000
Zr 0.2500 0.2500 0.2500
Cr 0.0000 0.0000 0.5000
Cd 0.2500 0.2500 0.7500

## Properties
- M_tot: 7.459 μB per cell
- Calculated formation energy: 224 meV/atom
- E_tot: -6.684 eV per atom

---

Q: calculated formation energy of number 4 (ZnCr2Cd)?
A: 512 meV/atom